This record from Alexandria via LeMat-Bulk describes an optimized crystal structure of Ac12Sn6Pb. The functional is PBE.

Results
For the distance to the lowest polymorph of the same formula, the calculation gives 84 meV per atom. As for the formation energy: -7.06 eV/f.u.

Structure (CIF):
```
data_Ac12Sn6Pb
_cell_length_a 9.6679
_cell_length_b 9.6679
_cell_length_c 9.6679
_cell_angle_alpha 100.56
_cell_angle_beta 100.56
_cell_angle_gamma 100.56
_space_group_name_H-M_alt 'P 1'
_space_group_IT_number 1
loop_
_space_group_symop_operation_xyz
'x,y,z'
loop_
_atom_site_label
_atom_site_type_symbol
_atom_site_fract_x
_atom_site_fract_y
_atom_site_fract_z
_atom_site_occupancy
Ac1 Ac 0.0508 0.9389 0.6679 1
Ac2 Ac 0.0611 0.3321 0.9492 1
Ac3 Ac 0.1849 0.5586 0.4199 1
Ac4 Ac 0.3321 0.9492 0.0611 1
Ac5 Ac 0.4199 0.1849 0.5586 1
Ac6 Ac 0.4414 0.5801 0.8151 1
Ac7 Ac 0.5586 0.4199 0.1849 1
Ac8 Ac 0.5801 0.8151 0.4414 1
Ac9 Ac 0.6679 0.0508 0.9389 1
Ac10 Ac 0.8151 0.4414 0.5801 1
Ac11 Ac 0.9389 0.6679 0.0508 1
Ac12 Ac 0.9492 0.0611 0.3321 1
Sn1 Sn 0.1296 0.3093 0.6217 1
Sn2 Sn 0.3093 0.6217 0.1296 1
Sn3 Sn 0.3783 0.8704 0.6907 1
Sn4 Sn 0.6217 0.1296 0.3093 1
Sn5 Sn 0.6907 0.3783 0.8704 1
Sn6 Sn 0.8704 0.6907 0.3783 1
Pb1 Pb 0.0000 0.0000 0.0000 1
```



This record from Alexandria via LeMat-Bulk describes an optimized crystal structure of Ac8SnPb5. The functional is PBE.

Results
As for the formation energy: -8.14 eV/f.u.

Structure (CIF):
```
data_Ac8SnPb5
_cell_length_a 8.9128
_cell_length_b 8.9128
_cell_length_c 8.9128
_cell_angle_alpha 109.44
_cell_angle_beta 109.44
_cell_angle_gamma 109.52
_space_group_name_H-M_alt 'P 1'
_space_group_IT_number 1
loop_
_space_group_symop_operation_xyz
'x,y,z'
loop_
_atom_site_label
_atom_site_type_symbol
_atom_site_fract_x
_atom_site_fract_y
_atom_site_fract_z
_atom_site_occupancy
Ac1 Ac 0.0133 0.1266 0.7509 1
Ac2 Ac 0.2405 0.4892 0.6161 1
Ac3 Ac 0.3757 0.2625 0.2491 1
Ac4 Ac 0.3757 0.7595 0.2487 1
Ac5 Ac 0.5108 0.1269 0.7513 1
Ac6 Ac 0.7375 0.9867 0.1133 1
Ac7 Ac 0.8731 0.6243 0.3839 1
Ac8 Ac 0.8734 0.6243 0.8867 1
Sn1 Sn 0.5000 0.5000 0.0000 1
Pb1 Pb 0.9995 0.3744 0.1250 1
Pb2 Pb 0.1254 0.0005 0.3748 1
Pb3 Pb 0.2494 0.8746 0.8750 1
Pb4 Pb 0.6256 0.7506 0.6252 1
Pb5 Pb 0.7500 0.2500 0.5000 1
```



This record from Alexandria via LeMat-Bulk describes an optimized crystal structure of Ac3Sn2Pb2. The functional is PBE.

Results
As for the formation energy: -3.64 eV/f.u.

Structure (CIF):
```
data_Ac3Sn2Pb2
_cell_length_a 11.2676
_cell_length_b 11.2676
_cell_length_c 11.2676
_cell_angle_alpha 155.71
_cell_angle_beta 154.73
_cell_angle_gamma 35.33
_space_group_name_H-M_alt 'P 1'
_space_group_IT_number 1
loop_
_space_group_symop_operation_xyz
'x,y,z'
loop_
_atom_site_label
_atom_site_type_symbol
_atom_site_fract_x
_atom_site_fract_y
_atom_site_fract_z
_atom_site_occupancy
Ac1 Ac 0.0000 0.0000 0.0000 1
Ac2 Ac 0.1787 0.6787 0.5000 1
Ac3 Ac 0.8213 0.3213 0.5000 1
Sn1 Sn 0.4340 0.4340 0.0000 1
Sn2 Sn 0.5660 0.5660 0.0000 1
Pb1 Pb 0.3391 0.8391 0.5000 1
Pb2 Pb 0.6609 0.1609 0.5000 1
```